(1)
## MoC2 (PBE)

Data for a relaxed structure of MoC2.

Lattice parameters (Å, degrees): 4.971 4.971 3.063 90.00 90.00 90.00
Positions (direct):
Mo: 0.500 0.500 0.000
Mo: 0.000 0.000 0.500
C: 0.791 0.791 0.000
C: 0.209 0.209 0.000
C: 0.291 0.709 0.500
C: 0.709 0.291 0.500

Values from the calculation:
- total magnetization (Bohr magnetons per cell) = 0.00
- ΔE_f (eV/atom) = 1.70
- final energy (eV/cell) = -48.35
- relative energy among the computed polymorphs (meV per atom) = 1182.5

***

(2)
## ZnTcNi2 (PBE)

Data for a relaxed structure of ZnTcNi2.

Lattice parameters (Å, degrees): 4.443 4.443 4.443 129.96 129.98 73.45
Each line ends with the local moment (μB).
Positions (direct):
Ni: 0.000 0.000 0.000  0.45
Ni: 0.500 0.500 0.000  0.45
Tc: 0.250 0.750 0.500  0.98
Zn: 0.750 0.250 0.500  0.00

Values from the calculation:
- total magnetization (Bohr magnetons per cell) = 1.89
- ΔE_f (eV/atom) = 0.05
- final energy (eV/cell) = -22.98

***

(3)
## ScNi (PBE)

Data for a relaxed structure of ScNi.

Lattice parameters (Å, degrees): 4.378 4.378 5.147 90.00 90.00 120.00
Positions (direct):
Sc: 0.333 0.667 0.250
Sc: 0.667 0.333 0.750
Ni: 0.333 0.667 0.750
Ni: 0.667 0.333 0.250

Values from the calculation:
- total magnetization (Bohr magnetons per cell) = 0.00
- ΔE_f (eV/atom) = 0.14
- final energy (eV/cell) = -23.65